# Pm2TmNi4Sb3

Crystalline Pm2TmNi4Sb3 at its relaxed geometry (PBE, Alexandria).

* DOS at the Fermi energy: 3.44 states/eV/cell
* crystal system: tetragonal
* uncorrected energy: -56.2 eV for the cell shown
* total magnetization: 0.00 μB/f.u.

a b c (Å): 4.3629 4.3629 10.7023
angles (deg): 90.00 90.00 90.00
Fractional positions:
1 Pm 0.0000 0.5000 0.2177
2 Pm 0.5000 0.0000 0.7823
3 Tm 0.0000 0.0000 0.5000
4 Ni 0.0000 0.0000 0.0000
5 Ni 0.0000 0.5000 0.6417
6 Ni 0.5000 0.0000 0.3583
7 Ni 0.5000 0.5000 0.0000
8 Sb 0.0000 0.5000 0.8733
9 Sb 0.5000 0.0000 0.1267
10 Sb 0.5000 0.5000 0.5000

# PmZnNiSb

Crystalline PmZnNiSb at its relaxed geometry (PBE, Alexandria).

* DOS at the Fermi energy: 2.34 states/eV/cell
* crystal system: cubic
* uncorrected energy: -17.2 eV for the cell shown
* total magnetization: 0.00 μB/f.u.

a b c (Å): 4.8330 4.8330 4.8330
angles (deg): 60.00 60.00 60.00
Fractional positions:
1 Pm 0.0000 0.0000 0.0000
2 Zn 0.7500 0.7500 0.7500
3 Ni 0.2500 0.2500 0.2500
4 Sb 0.5000 0.5000 0.5000